Entry 1:
# RbP3Au

Crystalline RbP3Au at its relaxed geometry (GGA-PBE, Alexandria).

The structure in POSCAR format:
```
RbP3Au
1.0
5.4248 0.0000 0.0000
0.0000 5.4248 0.0000
0.0000 0.0000 5.4248
Rb P Au
1 3 1
Direct
0.0000 0.0000 0.0000
0.0000 0.0000 0.5000
0.0000 0.5000 0.0000
0.5000 0.0000 0.0000
0.5000 0.5000 0.5000
```

Polymorph energy (0 for the lowest one) ... 1.639 eV per atom

***

Entry 2:
# Rb3PAu

Crystalline Rb3PAu at its relaxed geometry (GGA-PBE, Alexandria).

The structure in POSCAR format:
```
Rb3PAu
1.0
7.1165 0.0000 0.0000
0.0000 9.9310 0.0000
-0.0001 0.0000 10.9781
Rb P Au
12 4 4
Direct
0.2308 0.0428 0.3790
0.2308 0.4572 0.8790
0.2329 0.0423 0.8709
0.2329 0.4577 0.3709
0.2396 0.7394 0.6249
0.2396 0.7606 0.1249
0.7604 0.2394 0.8751
0.7604 0.2606 0.3751
0.7671 0.5423 0.6291
0.7671 0.9577 0.1291
0.7692 0.5428 0.1210
0.7692 0.9572 0.6210
0.0719 0.2460 0.1250
0.0719 0.2540 0.6250
0.9281 0.7460 0.3750
0.9281 0.7540 0.8750
0.4068 0.2458 0.1250
0.4068 0.2542 0.6250
0.5932 0.7458 0.3750
0.5932 0.7542 0.8750
```

Polymorph energy (0 for the lowest one) ... 0.000 eV per atom

***

Entry 3:
# Rb4P2Au

Crystalline Rb4P2Au at its relaxed geometry (GGA-PBE, Alexandria).

The structure in POSCAR format:
```
Rb4P2Au
1.0
2.9379 1.6962 9.2890
-2.9379 1.6962 9.2890
0.0000 -3.3924 9.2890
Rb P Au
4 2 1
Direct
0.1205 0.1205 0.1205
0.2922 0.2922 0.2922
0.7078 0.7078 0.7078
0.8795 0.8795 0.8795
0.4157 0.4157 0.4157
0.5843 0.5843 0.5843
0.5000 0.5000 0.5000
```

***

Entry 4:
# RbPRuAu

Crystalline RbPRuAu at its relaxed geometry (GGA-PBE, Alexandria).

The structure in POSCAR format:
```
RbPRuAu
1.0
4.0029 0.0000 0.0000
0.0000 4.0029 0.0000
0.0000 0.0000 12.5204
Rb P Ru Au
2 2 2 2
Direct
0.2500 0.2500 0.2378
0.7500 0.7500 0.7622
0.2500 0.2500 0.5935
0.7500 0.7500 0.4065
0.2500 0.7500 0.5000
0.7500 0.2500 0.5000
0.2500 0.7500 0.0000
0.7500 0.2500 0.0000
```

***

Entry 5:
# Rb2PRuAu

Crystalline Rb2PRuAu at its relaxed geometry (GGA-PBE, Alexandria).

The structure in POSCAR format:
```
Rb2PRuAu
1.0
6.3984 0.0000 0.0000
0.0000 6.3984 0.0000
0.0000 0.0000 5.0423
Rb P Ru Au
2 1 1 1
Direct
0.0000 0.5000 0.0000
0.5000 0.0000 0.0000
0.0000 0.0000 0.5000
0.5000 0.5000 0.0000
0.5000 0.5000 0.5000
```

***

Entry 6:
# RbP2AuS

Crystalline RbP2AuS at its relaxed geometry (GGA-PBE, Alexandria).

The structure in POSCAR format:
```
RbP2AuS
1.0
4.8982 0.0000 0.0000
0.0000 4.8982 0.0000
0.0000 0.0000 5.3678
Rb P Au S
1 2 1 1
Direct
0.0000 0.0000 0.0000
0.0000 0.5000 0.5000
0.5000 0.0000 0.5000
0.5000 0.5000 0.5000
0.5000 0.5000 0.0000
```

Polymorph energy (0 for the lowest one) ... 0.000 eV per atom
Formation energy (no corrections) ... 0.474 eV/atom

***

Entry 7:
# Rb2PAuS4

Crystalline Rb2PAuS4 at its relaxed geometry (GGA-PBE, Alexandria).

The structure in POSCAR format:
```
Rb2PAuS4
1.0
0.0000 6.4252 11.8152
3.2183 0.0000 11.8152
3.2183 6.4252 0.0000
Rb P Au S
4 2 2 8
Direct
0.0548 0.0548 0.6952
0.3048 0.3048 0.9452
0.6952 0.6952 0.0548
0.9452 0.9452 0.3048
0.3750 0.3750 0.3750
0.6250 0.6250 0.6250
0.1250 0.1250 0.1250
0.8750 0.8750 0.8750
0.0427 0.6090 0.5217
0.3266 0.5217 0.6090
0.3910 0.9573 0.6734
0.4783 0.6734 0.9573
0.5217 0.3266 0.0427
0.6090 0.0427 0.3266
0.6734 0.4783 0.3910
0.9573 0.3910 0.4783
```

Formation energy (no corrections) ... -0.619 eV/atom

***

Entry 8:
# RbPAuS2

Crystalline RbPAuS2 at its relaxed geometry (GGA-PBE, Alexandria).

The structure in POSCAR format:
```
RbPAuS2
1.0
6.0820 0.0000 0.0000
0.0000 6.0820 0.0000
0.0000 0.0000 6.5197
Rb P Au S
1 1 1 2
Direct
0.0000 0.0000 0.0000
0.0000 0.0000 0.5000
0.5000 0.5000 0.5000
0.0000 0.5000 0.0000
0.5000 0.0000 0.0000
```

Polymorph energy (0 for the lowest one) ... 1.470 eV per atom
Formation energy (no corrections) ... 1.726 eV/atom

***

Entry 9:
# RbPAuS4

Crystalline RbPAuS4 at its relaxed geometry (GGA-PBE, Alexandria).

The structure in POSCAR format:
```
RbPAuS4
1.0
4.3378 -6.2805 0.0000
4.3378 6.2805 0.0000
0.0000 0.0000 7.4809
Rb P Au S
2 2 2 8
Direct
0.0000 0.0000 0.0000
0.0000 0.0000 0.5000
0.3652 0.6348 0.7500
0.6348 0.3652 0.2500
0.3672 0.6328 0.2500
0.6328 0.3672 0.7500
0.2670 0.7330 0.5296
0.2670 0.7330 0.9704
0.2889 0.3488 0.7500
0.3488 0.2889 0.2500
0.6512 0.7111 0.7500
0.7111 0.6512 0.2500
0.7330 0.2670 0.0296
0.7330 0.2670 0.4704
```

Formation energy (no corrections) ... -0.308 eV/atom

***

Entry 10:
# RbP2AuS

Crystalline RbP2AuS at its relaxed geometry (GGA-PBE, Alexandria).

The structure in POSCAR format:
```
RbP2AuS
1.0
6.7383 0.0000 0.0000
0.0000 6.7383 0.0000
0.0000 0.0000 6.1767
Rb P Au S
1 2 1 1
Direct
0.0000 0.0000 0.0000
0.0000 0.5000 0.0000
0.5000 0.0000 0.0000
0.5000 0.5000 0.5000
0.0000 0.0000 0.5000
```

Polymorph energy (0 for the lowest one) ... 1.476 eV per atom
Formation energy (no corrections) ... 1.949 eV/atom

***

Entry 11:
# RbPAuS2

Crystalline RbPAuS2 at its relaxed geometry (GGA-PBE, Alexandria).

The structure in POSCAR format:
```
RbPAuS2
1.0
5.2360 0.0000 0.0000
0.0000 5.2360 0.0000
0.0000 0.0000 4.6548
Rb P Au S
1 1 1 2
Direct
0.0000 0.0000 0.0000
0.5000 0.5000 0.0000
0.5000 0.5000 0.5000
0.0000 0.5000 0.5000
0.5000 0.0000 0.5000
```

Polymorph energy (0 for the lowest one) ... 0.000 eV per atom
Formation energy (no corrections) ... 0.257 eV/atom

***

Entry 12:
# Rb2SbPAu

Crystalline Rb2SbPAu at its relaxed geometry (GGA-PBE, Alexandria).

The structure in POSCAR format:
```
Rb2SbPAu
1.0
6.8667 0.0000 0.0000
0.0000 6.8667 0.0000
0.0000 0.0000 4.4121
Rb Sb P Au
2 1 1 1
Direct
0.0000 0.5000 0.0000
0.5000 0.0000 0.0000
0.0000 0.0000 0.5000
0.5000 0.5000 0.5000
0.5000 0.5000 0.0000
```

Formation energy (no corrections) ... 0.036 eV/atom

***

Entry 13:
# RbP2AuSe8

Crystalline RbP2AuSe8 at its relaxed geometry (GGA-PBE, Alexandria).

The structure in POSCAR format:
```
RbP2AuSe8
1.0
2.9466 1.7012 11.8280
-2.9466 1.7012 11.8280
0.0000 -3.4024 11.8280
Rb P Au Se
1 2 1 8
Direct
0.0000 0.0000 0.0000
0.2402 0.2402 0.2402
0.7598 0.7598 0.7598
0.5000 0.5000 0.5000
0.1287 0.4035 0.8215
0.1785 0.8713 0.5965
0.3009 0.3009 0.3009
0.4035 0.8215 0.1287
0.5965 0.1785 0.8713
0.6991 0.6991 0.6991
0.8215 0.1287 0.4035
0.8713 0.5965 0.1785
```

Formation energy (no corrections) ... -0.114 eV/atom

***

Entry 14:
# RbSrPAu2

Crystalline RbSrPAu2 at its relaxed geometry (GGA-PBE, Alexandria).

The structure in POSCAR format:
```
RbSrPAu2
1.0
5.6383 0.0000 0.0000
0.0000 5.6383 0.0000
0.0000 0.0000 7.0639
Rb Sr P Au
1 1 1 2
Direct
0.0000 0.0000 0.0000
0.0000 0.0000 0.5000
0.5000 0.5000 0.5000
0.0000 0.5000 0.0000
0.5000 0.0000 0.0000
```

***

Entry 15:
# RbZnPAu

Crystalline RbZnPAu at its relaxed geometry (GGA-PBE, Alexandria).

The structure in POSCAR format:
```
RbZnPAu
1.0
3.2264 0.0000 0.0000
0.0000 2.7941 5.5881
0.0000 -2.7941 5.5881
Rb Zn P Au
1 1 1 1
Direct
0.0000 0.0000 0.0000
0.0000 0.3005 0.3005
0.5000 0.4584 0.4584
0.5000 0.6795 0.6795
```

***

Entry 16:
# RbZn2PAu

Crystalline RbZn2PAu at its relaxed geometry (GGA-PBE, Alexandria).

The structure in POSCAR format:
```
RbZn2PAu
1.0
5.0106 0.0000 0.0000
0.0000 5.0106 0.0000
0.0000 0.0000 5.1819
Rb Zn P Au
1 2 1 1
Direct
0.0000 0.0000 0.0000
0.0000 0.5000 0.5000
0.5000 0.0000 0.5000
0.5000 0.5000 0.0000
0.5000 0.5000 0.5000
```

***

Entry 17:
# Rb2ZnPAu

Crystalline Rb2ZnPAu at its relaxed geometry (GGA-PBE, Alexandria).

The structure in POSCAR format:
```
Rb2ZnPAu
1.0
6.4287 0.0000 0.0000
0.0000 6.4287 0.0000
0.0000 0.0000 4.9647
Rb Zn P Au
2 1 1 1
Direct
0.0000 0.5000 0.0000
0.5000 0.0000 0.0000
0.0000 0.0000 0.5000
0.5000 0.5000 0.5000
0.0000 0.0000 0.0000
```

***

Entry 18:
# RbZrP2Au

Crystalline RbZrP2Au at its relaxed geometry (GGA-PBE, Alexandria).

The structure in POSCAR format:
```
RbZrP2Au
1.0
4.9535 0.0000 0.0000
0.0000 4.9535 0.0000
0.0000 0.0000 11.4853
Rb Zr P Au
1 1 2 1
Direct
0.0000 0.0000 0.0000
0.0000 0.0000 0.5000
0.0000 0.5000 0.5000
0.5000 0.0000 0.5000
0.5000 0.5000 0.0000
```

***

Entry 19:
# ReP2Au

Crystalline ReP2Au at its relaxed geometry (GGA-PBE, Alexandria).

The structure in POSCAR format:
```
ReP2Au
1.0
-2.0561 2.0561 3.5133
2.0561 -2.0561 3.5133
2.0561 2.0561 -3.5133
Re P Au
1 2 1
Direct
0.0000 0.0000 0.0000
0.2500 0.7500 0.5000
0.7500 0.2500 0.5000
0.5000 0.5000 0.0000
```

Polymorph energy (0 for the lowest one) ... 0.600 eV per atom

***

Entry 20:
# Re2PAu

Crystalline Re2PAu at its relaxed geometry (GGA-PBE, Alexandria).

The structure in POSCAR format:
```
Re2PAu
1.0
1.4665 -2.4217 0.0000
1.4665 2.4217 0.0000
0.0000 0.0000 8.6737
Re P Au
2 1 1
Direct
0.0000 0.0000 0.2121
0.0000 0.0000 0.7879
0.5000 0.5000 0.0000
0.5000 0.5000 0.5000
```

***

Entry 21:
# RePAu2

Crystalline RePAu2 at its relaxed geometry (GGA-PBE, Alexandria).

The structure in POSCAR format:
```
RePAu2
1.0
4.0339 -1.5121 0.0000
4.0339 1.5121 0.0000
-0.4994 0.0000 5.8601
Re P Au
1 1 2
Direct
0.0000 0.0000 0.0000
0.7149 0.7149 0.0593
0.2850 0.2850 0.6888
0.5481 0.5481 0.4094
```

***

Entry 22:
# ReP2Au

Crystalline ReP2Au at its relaxed geometry (GGA-PBE, Alexandria).

The structure in POSCAR format:
```
ReP2Au
1.0
-1.8391 1.8391 4.4942
1.8391 -1.8391 4.4942
1.8391 1.8391 -4.4942
Re P Au
1 2 1
Direct
0.0000 0.0000 0.0000
0.5000 0.5000 0.0000
0.7500 0.2500 0.5000
0.2500 0.7500 0.5000
```

Polymorph energy (0 for the lowest one) ... 0.712 eV per atom

***

Entry 23:
# Re2PAu

Crystalline Re2PAu at its relaxed geometry (GGA-PBE, Alexandria).

The structure in POSCAR format:
```
Re2PAu
1.0
2.8979 0.0000 0.0000
0.0000 4.6369 0.0000
0.0000 0.0000 4.6426
Re P Au
2 1 1
Direct
0.0000 0.0000 0.0000
0.5000 0.0000 0.5000
0.0000 0.5000 0.5000
0.5000 0.5000 0.0000
```

***

Entry 24:
# ReP2Au

Crystalline ReP2Au at its relaxed geometry (GGA-PBE, Alexandria).

The structure in POSCAR format:
```
ReP2Au
1.0
2.5869 0.0000 0.0000
0.0000 4.3536 0.0000
-0.0336 0.0000 5.7701
Re P Au
1 2 1
Direct
0.0000 0.0000 0.0000
0.9997 0.5000 0.2143
0.0003 0.5000 0.7857
0.0000 0.0000 0.5000
```

Polymorph energy (0 for the lowest one) ... 0.458 eV per atom

***

Entry 25:
# Re2PAu

Crystalline Re2PAu at its relaxed geometry (GGA-PBE, Alexandria).

The structure in POSCAR format:
```
Re2PAu
1.0
0.0000 3.1522 3.1522
3.1522 0.0000 3.1522
3.1522 3.1522 0.0000
Re P Au
2 1 1
Direct
0.0000 0.0000 0.0000
0.2500 0.2500 0.2500
0.7500 0.7500 0.7500
0.5000 0.5000 0.5000
```

***

Entry 26:
# Re2PAu

Crystalline Re2PAu at its relaxed geometry (GGA-PBE, Alexandria).

The structure in POSCAR format:
```
Re2PAu
1.0
3.0096 0.0000 0.0000
0.0000 3.8036 0.0000
-1.3847 0.0000 5.2958
Re P Au
2 1 1
Direct
0.1387 0.0000 0.2804
0.8613 0.0000 0.7196
0.5000 0.5000 0.5000
0.5000 0.5000 0.0000
```

***

Entry 27:
# ReP2Au

Crystalline ReP2Au at its relaxed geometry (GGA-PBE, Alexandria).

The structure in POSCAR format:
```
ReP2Au
1.0
3.9269 -1.5680 0.0000
3.9269 1.5680 0.0000
-0.4120 0.0000 5.1801
Re P Au
1 2 1
Direct
0.0000 0.0000 0.0000
0.2849 0.2849 0.8094
0.7151 0.7151 0.1906
0.5000 0.5000 0.5000
```

Polymorph energy (0 for the lowest one) ... 0.231 eV per atom

***

| no. | theoretical density (g cm⁻³) | calculated total energy (eV/atom) |
| --- | --- | --- |
| 1 | 3.90 | -1.740 |
| 2 | 4.15 | -2.542 |
| 3 | 3.59 | -2.906 |
| 4 | 6.86 | -5.192 |
| 5 | 4.02 | -2.890 |
| 6 | 4.85 | -3.365 |
| 7 | 3.58 | -4.010 |
| 8 | 2.60 | -1.856 |
| 9 | 3.60 | -4.045 |
| 10 | 2.23 | -1.889 |
| 11 | 4.91 | -3.325 |
| 12 | 4.16 | -2.913 |
| 13 | 4.56 | -3.693 |
| 14 | 4.42 | -1.866 |
| 15 | 6.24 | -2.540 |
| 16 | 5.67 | -2.291 |
| 17 | 3.76 | -2.150 |
| 18 | 2.57 | -4.386 |
| 19 | 12.44 | -6.069 |
| 20 | 16.18 | -7.919 |
| 21 | 14.19 | -5.831 |
| 22 | 12.16 | -5.956 |
| 23 | 15.98 | -7.648 |
| 24 | 11.37 | -6.211 |
| 25 | 15.91 | -7.625 |
| 26 | 16.44 | -8.077 |
| 27 | 11.59 | -6.437 |